(1)
This record from Alexandria describes a relaxed ThTlNiAu crystal. The functional is GGA-PBE.

Calculated values
Crystal system: cubic
Formation energy from the elements in eV per formula unit: -1.12
Energy in eV per atom: -4.99
Magnetization in μB/cell: 0.00
Symmetry: F-43m, No. 216

Cell lengths 4.9749, 4.9749, 4.9749 Å; angles 60.00, 60.00, 60.00 degrees
With the nearest neighbours (Å) after each atom.
Element x y z (fractional)
Ni 0.2500 0.2500 0.2500  4 Tl 3.05, 4 Th 3.05
Tl 0.5000 0.5000 0.5000  4 Ni 3.05, 4 Au 3.05
Au 0.7500 0.7500 0.7500  4 Tl 3.05, 4 Th 3.05
Th 0.0000 0.0000 0.0000  4 Ni 3.05, 4 Au 3.05

(2)
This record from Alexandria describes a relaxed Pa2GaPd5 crystal. The functional is GGA-PBE.

Calculated values
Crystal system: orthorhombic
Formation energy from the elements in eV per formula unit: -1.25
Energy in eV per atom: -6.15
Magnetization in μB/cell: 2.58
Symmetry: Cmcm, No. 63

Cell lengths 3.0179, 8.3228, 13.4466 Å; angles 90.00, 90.00, 100.45 degrees
With the nearest neighbours (Å) after each atom.
Element x y z (fractional)
Pa 0.8775 0.7550 0.4091  6 Pd 2.72-2.98, 2 Pa 3.02
Pa 0.8775 0.7550 0.0909  6 Pd 2.72-2.98, 2 Pa 3.02
Pa 0.1225 0.2450 0.5909  6 Pd 2.72-2.98, 2 Pa 3.02
Pa 0.1225 0.2450 0.9091  6 Pd 2.72-2.98, 2 Pa 3.02
Ga 0.8690 0.7379 0.7500  6 Pd 2.56-2.76
Ga 0.1310 0.2621 0.2500  6 Pd 2.56-2.76
Pd 0.9563 0.9127 0.9075  1 Ga 2.56, 2 Pa 2.72-2.78
Pd 0.9563 0.9127 0.5925  1 Ga 2.56, 2 Pa 2.72-2.78
Pd 0.2205 0.4410 0.4169  1 Ga 2.68, 5 Pd 2.83-2.90, 3 Pa 2.84-2.98
Pd 0.2205 0.4410 0.0831  1 Ga 2.68, 5 Pd 2.83-2.90, 3 Pa 2.84-2.98
Pd 0.7721 0.5443 0.2500  2 Pa 2.75, 2 Ga 2.76, 6 Pd 2.83-3.02
Pd 0.2279 0.4557 0.7500  2 Pa 2.75, 2 Ga 2.76, 6 Pd 2.83-3.02
Pd 0.7795 0.5590 0.5831  1 Ga 2.68, 5 Pd 2.83-2.90, 3 Pa 2.84-2.98
Pd 0.7795 0.5590 0.9169  1 Ga 2.68, 5 Pd 2.83-2.90, 3 Pa 2.84-2.98
Pd 0.0437 0.0873 0.0925  1 Ga 2.56, 2 Pa 2.72-2.78
Pd 0.0437 0.0873 0.4075  1 Ga 2.56, 2 Pa 2.72-2.78

(3)
This record from Alexandria describes a relaxed Cs2AlCl7 crystal. The functional is GGA-PBE.

Calculated values
Crystal system: tetragonal
Energy relative to the elements, uncorrected in eV/atom: -1.38
Energy in eV per atom: -3.22
Magnetization in μB/cell: 0.00
Symmetry: I4/mmm, No. 139

Cell lengths 8.0426, 8.0426, 7.5785 Å; angles 57.95, 57.95, 90.00 degrees
With the nearest neighbours (Å) after each atom.
Element x y z (fractional)
Cs 0.7500 0.2500 0.5000  12 Cl 3.83-4.03
Cs 0.2500 0.7500 0.5000  12 Cl 3.83-4.03
Al 0.5000 0.5000 0.0000  4 Cl 2.25
Cl 0.0000 0.0000 0.0000  2 Cl 2.30
Cl 0.2292 0.2292 0.5416  1 Cl 2.30
Cl 0.7708 0.7708 0.4584  1 Cl 2.30
Cl 0.3017 0.3017 0.0000  1 Al 2.25
Cl 0.6983 0.6983 0.0000  1 Al 2.25
Cl 0.6983 0.3017 0.0000  1 Al 2.25
Cl 0.3017 0.6983 0.0000  1 Al 2.25

(4)
This record from Alexandria describes a relaxed Pu2InGa4Pt3 crystal. The functional is GGA-PBE.

Calculated values
Crystal system: tetragonal
Formation energy from the elements in eV per formula unit: -6.22
Energy in eV per atom: -6.79
Magnetization in μB/cell: 11.01
Symmetry: P-4m2, No. 115

Cell lengths 4.2017, 4.2017, 11.2320 Å; angles 90.00, 90.00, 90.00 degrees
With the nearest neighbours (Å) after each atom.
Element x y z (fractional)
Pu 0.5000 0.0000 0.2382  4 Pt 3.20, 8 Ga 3.24-3.40
Pu 0.0000 0.5000 0.7618  4 Pt 3.20, 8 Ga 3.24-3.40
In 0.5000 0.5000 0.5000  4 Ga 2.68, 4 Pt 2.97
Ga 0.5000 0.5000 0.0000  4 Pt 2.57
Ga 0.0000 0.0000 0.0000  4 Pt 2.57
Ga 0.5000 0.0000 0.6477  3 Pt 2.48-2.68, 2 In 2.68
Ga 0.0000 0.5000 0.3523  3 Pt 2.48-2.68, 2 In 2.68
Pt 0.0000 0.0000 0.5000  4 Ga 2.68, 4 In 2.97
Pt 0.5000 0.0000 0.8682  5 Ga 2.48-2.57
Pt 0.0000 0.5000 0.1318  5 Ga 2.48-2.57

(5)
This record from Alexandria describes a relaxed PrAlC crystal. The functional is GGA-PBE.

Calculated values
Crystal system: tetragonal
Formation energy from the elements in eV per formula unit: 0.28
Energy in eV per atom: -5.82
Magnetization in μB/cell: 0.00
Symmetry: I4/mmm, No. 139

Cell lengths 3.8817, 3.8817, 9.1905 Å; angles 102.19, 102.19, 90.00 degrees
With the nearest neighbours (Å) after each atom.
Element x y z (fractional)
Al 0.0703 0.0703 0.1405  1 C 1.90
Al 0.9297 0.9297 0.8595  1 C 1.90
Pr 0.6782 0.6782 0.3565  5 C 2.51-2.74
Pr 0.3218 0.3218 0.6435  5 C 2.51-2.74
C 0.8213 0.8213 0.6425  1 Al 1.90
C 0.1787 0.1787 0.3575  1 Al 1.90

(6)
This record from Alexandria describes a relaxed K9Na3Pb crystal. The functional is GGA-PBE.

Calculated values
Crystal system: orthorhombic
Formation energy from the elements in eV per formula unit: 0.13
Energy in eV per atom: -1.34
Magnetization in μB/cell: 0.00
Symmetry: C222_1, No. 20

Cell lengths 11.3560, 11.3560, 12.4006 Å; angles 90.00, 90.00, 107.69 degrees
With the nearest neighbours (Å) after each atom.
Element x y z (fractional)
K 0.3282 0.9049 0.8647  3 Na 4.03-4.28, 4 K 4.22-4.37
K 0.6718 0.0951 0.3647  3 Na 4.03-4.28, 4 K 4.22-4.37
K 0.9049 0.3282 0.1353  3 Na 4.03-4.28, 4 K 4.22-4.37
K 0.0951 0.6718 0.6353  3 Na 4.03-4.28, 4 K 4.22-4.37
K 0.3184 0.4048 0.7769  2 Pb 3.67-3.94, 1 K 3.77, 2 Na 3.88-4.02
K 0.6816 0.5952 0.2769  2 Pb 3.67-3.94, 1 K 3.77, 2 Na 3.88-4.02
K 0.4048 0.3184 0.2231  2 Pb 3.67-3.94, 1 K 3.77, 2 Na 3.88-4.02
K 0.5952 0.6816 0.7231  2 Pb 3.67-3.94, 1 K 3.77, 2 Na 3.88-4.02
K 0.4127 0.7294 0.4212  1 Pb 3.55
K 0.5873 0.2706 0.9212  1 Pb 3.55
K 0.7294 0.4127 0.5788  1 Pb 3.55
K 0.2706 0.5873 0.0788  1 Pb 3.55
K 0.3378 0.1013 0.5365  1 Pb 3.67
K 0.6622 0.8987 0.0365  1 Pb 3.67
K 0.1013 0.3378 0.4635  1 Pb 3.67
K 0.8987 0.6622 0.9635  1 Pb 3.67
K 0.0133 0.9867 0.2500  4 Na 3.83-3.90
K 0.9867 0.0133 0.7500  4 Na 3.83-3.90
Na 0.0481 0.6627 0.3133  7 K 3.90-4.34, 2 Na 4.18-4.24
Na 0.9519 0.3373 0.8133  7 K 3.90-4.34, 2 Na 4.18-4.24
Na 0.6627 0.0481 0.6867  7 K 3.90-4.34, 2 Na 4.18-4.24
Na 0.3373 0.9519 0.1867  7 K 3.90-4.34, 2 Na 4.18-4.24
Na 0.1669 0.1669 0.0000  6 K 3.83-4.28, 2 Na 4.24
Na 0.8331 0.8331 0.5000  6 K 3.83-4.28, 2 Na 4.24
Pb 0.5622 0.5622 0.0000  8 K 3.55-3.94
Pb 0.4378 0.4378 0.5000  8 K 3.55-3.94

Q: Which of these has the highest energy?
A: K9Na3Pb

What did the fourth record say?
This record from Alexandria describes a relaxed Pu2InGa4Pt3 crystal. The functional is GGA-PBE.

Calculated values
Crystal system: tetragonal
Formation energy from the elements in eV per formula unit: -6.22
Energy in eV per atom: -6.79
Magnetization in μB/cell: 11.01
Symmetry: P-4m2, No. 115

Cell lengths 4.2017, 4.2017, 11.2320 Å; angles 90.00, 90.00, 90.00 degrees
With the nearest neighbours (Å) after each atom.
Element x y z (fractional)
Pu 0.5000 0.0000 0.2382  4 Pt 3.20, 8 Ga 3.24-3.40
Pu 0.0000 0.5000 0.7618  4 Pt 3.20, 8 Ga 3.24-3.40
In 0.5000 0.5000 0.5000  4 Ga 2.68, 4 Pt 2.97
Ga 0.5000 0.5000 0.0000  4 Pt 2.57
Ga 0.0000 0.0000 0.0000  4 Pt 2.57
Ga 0.5000 0.0000 0.6477  3 Pt 2.48-2.68, 2 In 2.68
Ga 0.0000 0.5000 0.3523  3 Pt 2.48-2.68, 2 In 2.68
Pt 0.0000 0.0000 0.5000  4 Ga 2.68, 4 In 2.97
Pt 0.5000 0.0000 0.8682  5 Ga 2.48-2.57
Pt 0.0000 0.5000 0.1318  5 Ga 2.48-2.57